# Mg2AgWO6, relaxed, DFT PBE with a Hubbard U
data_Mg2AgWO6
_cell_length_a 5.244
_cell_length_b 5.376
_cell_length_c 9.900
_cell_angle_alpha 90.00
_cell_angle_beta 121.30
_cell_angle_gamma 90.00
_symmetry_space_group_name_H-M 'P 1 21/c 1'
_symmetry_Int_Tables_number 14
loop_
_symmetry_equiv_pos_as_xyz
'x,y,z'
'-x,-y,-z'
'-x,y+1/2,-z+1/2'
'x,-y+1/2,z+1/2'
loop_
_atom_site_label
_atom_site_fract_x
_atom_site_fract_y
_atom_site_fract_z
Mg1 0.214 0.023 0.212
Ag1 0.000 0.000 0.500
W1 0.500 0.000 0.000
O1 0.153 0.166 0.975
O2 0.214 0.732 0.870
O3 0.453 0.157 0.811
# - magnetic moment (Bohr magnetons per cell) = 1.5
# - E (eV/atom) = -6.1552